First-principles (PBE) data for an optimized crystal structure of TaGaFe, as listed in the Alexandria database.

Lattice parameters (Å, degrees): 4.862 4.029 5.061 90.00 108.25 90.00
Fractional positions:
Ta  0.181  0.250  0.404
Ta  0.819  0.750  0.596
Ga  0.374  0.750  0.067
Ga  0.626  0.250  0.933
Fe  0.081  0.250  0.841
Fe  0.919  0.750  0.159

Computed properties:
VASP energy = -7.768 eV/atom
Energy of formation = 0.013 eV per atom

***

First-principles (PBE) data for an optimized crystal structure of PmCuSnP, as listed in the Alexandria database.

Lattice parameters (Å, degrees): 4.912 4.912 4.912 60.00 60.00 60.00
Fractional positions:
Pm  0.000  0.000  0.000
Cu  0.250  0.250  0.250
Sn  0.500  0.500  0.500
P  0.750  0.750  0.750

Computed properties:
VASP energy = -4.859 eV/atom
Energy of formation = -0.294 eV per atom

***

First-principles (PBE) data for an optimized crystal structure of MnHgRu2, as listed in the Alexandria database.

Lattice parameters (Å, degrees): 5.421 5.421 5.421 149.47 129.85 59.86
Fractional positions:
Mn  0.000  0.000  0.000
Hg  0.500  0.500  0.000
Ru  0.221  0.721  0.500
Ru  0.779  0.279  0.500

Computed properties:
VASP energy = -6.606 eV/atom
Energy of formation = 0.399 eV per atom

***

First-principles (PBE) data for an optimized crystal structure of CsP2H6S2, as listed in the Alexandria database.

Lattice parameters (Å, degrees): 5.445 6.902 7.404 113.84 93.02 104.11
Fractional positions:
Cs  0.000  0.000  0.000
P  0.455  0.066  0.647
P  0.545  0.934  0.353
H  0.285  0.800  0.262
H  0.331  0.558  0.568
H  0.370  0.375  0.714
H  0.630  0.625  0.286
H  0.669  0.442  0.432
H  0.715  0.200  0.738
S  0.366  0.597  0.763
S  0.634  0.403  0.237

Computed properties:
VASP energy = -3.814 eV/atom

***

First-principles (PBE) data for an optimized crystal structure of CsRbSb2Te, as listed in the Alexandria database.

Lattice parameters (Å, degrees): 6.340 6.340 6.526 90.00 90.00 90.00
Fractional positions:
Cs  0.000  0.000  0.000
Rb  0.500  0.500  0.500
Sb  0.000  0.500  0.500
Sb  0.500  0.000  0.500
Te  0.500  0.500  0.000

Computed properties:
Relative energy among the computed polymorphs = 0.0 meV/atom
VASP energy = -2.107 eV/atom
Uncorrected formation energy = 2.67 eV per formula unit

***

First-principles (PBE) data for an optimized crystal structure of NbGa2BiTe, as listed in the Alexandria database.

Lattice parameters (Å, degrees): 5.172 5.172 5.317 90.00 90.00 90.00
Fractional positions:
Nb  0.000  0.000  0.000
Ga  0.000  0.500  0.000
Ga  0.500  0.000  0.000
Bi  0.500  0.500  0.500
Te  0.000  0.000  0.500

Computed properties:
VASP energy = -4.212 eV/atom
Uncorrected formation energy = 2.08 eV per formula unit

***

First-principles (PBE) data for an optimized crystal structure of ReW2Cl, as listed in the Alexandria database.

Lattice parameters (Å, degrees): 5.269 5.269 4.566 115.60 115.60 32.46
Fractional positions:
Re  0.000  0.000  0.000
W  0.230  0.230  0.730
W  0.770  0.770  0.270
Cl  0.500  0.500  0.500

Computed properties:
Relative energy among the computed polymorphs = 475.3 meV/atom
VASP energy = -9.172 eV/atom
Uncorrected formation energy = 3.51 eV per formula unit

***

First-principles (PBE) data for an optimized crystal structure of AlTcIO2, as listed in the Alexandria database.

Lattice parameters (Å, degrees): 3.972 3.972 5.699 90.00 90.00 90.00
Fractional positions:
Al  0.000  0.000  0.000
Tc  0.500  0.500  0.500
I  0.500  0.500  0.000
O  0.000  0.500  0.500
O  0.500  0.000  0.500

Computed properties:
Relative energy among the computed polymorphs = 0.0 meV/atom
VASP energy = -5.459 eV/atom
Uncorrected formation energy = -1.72 eV per formula unit